1.
This record from the Alexandria database describes a relaxed CaAl4PtRh2 crystal. The functional is PBE.

Unit cell a=4.229 b=4.229 c=9.400 alpha=77.00 beta=77.00 gamma=60.00
Element x y z (fractional)
Pt 0.500 0.500 0.500
Rh 0.231 0.231 0.308
Al 0.131 0.131 0.606
Al 0.594 0.594 0.217
Rh 0.769 0.769 0.692
Al 0.406 0.406 0.783
Al 0.869 0.869 0.394
Ca 0.000 0.000 0.000

Properties
Space group = R-3m (166)
Theoretical density = 6.48 g/cm3
Volume = 140.6 Å³/f.u.

=====

2.
This record from the Alexandria database describes a relaxed CaAl2PtRh crystal. The functional is PBE.

Unit cell a=5.230 b=4.811 c=5.230 alpha=90.00 beta=90.00 gamma=90.00
Element x y z (fractional)
Al 0.500 0.000 0.000
Ca 0.000 0.000 0.000
Rh 0.500 0.500 0.500
Al 0.000 0.000 0.500
Pt 0.000 0.500 0.000

Properties
Space group = P4/mmm (123)
Theoretical density = 4.95 g/cm3
Volume = 131.6 Å³/f.u.

=====

3.
This record from the Alexandria database describes a relaxed Ca2Al4Pt3Rh crystal. The functional is PBE.

Unit cell a=4.273 b=4.273 c=10.271 alpha=90.00 beta=90.00 gamma=90.00
Element x y z (fractional)
Ca 0.500 0.000 0.258
Ca 0.000 0.500 0.742
Al 0.000 0.500 0.377
Pt 0.000 0.500 0.134
Pt 0.000 0.000 0.500
Pt 0.500 0.000 0.866
Al 0.500 0.500 0.000
Al 0.500 0.000 0.623
Al 0.000 0.000 0.000
Rh 0.500 0.500 0.500

Properties
Space group = P-4m2 (115)
Theoretical density = 7.76 g/cm3
Volume = 187.6 Å³/f.u.

=====

Number 1: magnetic moment 0.00 μB/f.u., ΔH_f (0 K) -0.779 eV per atom. Number 2: magnetic moment 0.87 μB/f.u., ΔH_f (0 K) 1.532 eV per atom. Number 3: magnetic moment 0.00 μB/f.u., ΔH_f (0 K) -1.017 eV per atom.